1.
Compound: La2Y3HoSe6
Source: Alexandria
Functional: GGA-PBE
Structure: relaxed

a = 9.2970 Å, b = 9.2970 Å, c = 8.3871 Å
α = 103.29°, β = 103.29°, γ = 25.66°
Positions (direct):
La  0.1669  0.1669  0.3347
La  0.8331  0.8331  0.6653
Y  0.1701  0.1701  0.8344
Y  0.5000  0.5000  0.5000
Y  0.8299  0.8299  0.1656
Ho  0.5000  0.5000  0.0000
Se  0.0052  0.0052  0.7553
Se  0.3359  0.3359  0.9296
Se  0.3377  0.3377  0.4063
Se  0.6623  0.6623  0.5937
Se  0.6641  0.6641  0.0704
Se  0.9948  0.9948  0.2447

Values from the calculation:
Size of the total moment   0.00 μB per cell
E_tot   -76.73 eV per cell

---

2.
Compound: LaHoSi4
Source: Alexandria
Functional: GGA-PBE
Structure: relaxed

a = 7.4182 Å, b = 16.2464 Å, c = 4.1887 Å
α = 90.00°, β = 90.00°, γ = 90.00°
Positions (direct):
La  0.1308  0.1669  0.0000
La  0.3692  0.6669  0.0000
La  0.6308  0.3331  0.0000
La  0.8692  0.8331  0.0000
Ho  0.1356  0.4133  0.0000
Ho  0.3644  0.9133  0.0000
Ho  0.6356  0.0867  0.0000
Ho  0.8644  0.5867  0.0000
Si  0.0305  0.6865  0.5000
Si  0.0987  0.9427  0.5000
Si  0.1447  0.5428  0.5000
Si  0.2097  0.8036  0.5000
Si  0.2903  0.3036  0.5000
Si  0.3553  0.0428  0.5000
Si  0.4013  0.4427  0.5000
Si  0.4695  0.1865  0.5000
Si  0.5305  0.8135  0.5000
Si  0.5987  0.5573  0.5000
Si  0.6447  0.9572  0.5000
Si  0.7097  0.6964  0.5000
Si  0.7903  0.1964  0.5000
Si  0.8553  0.4572  0.5000
Si  0.9013  0.0573  0.5000
Si  0.9695  0.3135  0.5000

Values from the calculation:
Size of the total moment   0.00 μB per cell
E_tot   -137.40 eV per cell

---

3.
Compound: La3Ho3Si4
Source: Alexandria
Functional: GGA-PBE
Structure: relaxed

a = 4.4344 Å, b = 7.6183 Å, c = 7.6183 Å
α = 91.02°, β = 90.00°, γ = 90.00°
Positions (direct):
La  0.0000  0.0000  0.0000
La  0.0000  0.1476  0.5048
La  0.0000  0.5048  0.1476
Ho  0.0000  0.6478  0.6478
Ho  0.5000  0.3255  0.8235
Ho  0.5000  0.8235  0.3255
Si  0.5000  0.2142  0.2142
Si  0.5000  0.4466  0.4466
Si  0.5000  0.7050  0.9300
Si  0.5000  0.9300  0.7050

Values from the calculation:
Size of the total moment   0.00 μB per cell
E_tot   -57.07 eV per cell

---

4.
Compound: LaHo2Si
Source: Alexandria
Functional: GGA-PBE
Structure: relaxed

a = 3.5808 Å, b = 3.5808 Å, c = 32.6280 Å
α = 90.00°, β = 90.00°, γ = 120.00°
Positions (direct):
La  0.0000  0.0000  0.0000
La  0.3333  0.6667  0.6667
La  0.6667  0.3333  0.3333
Ho  0.0000  0.0000  0.1078
Ho  0.0000  0.0000  0.8922
Ho  0.3333  0.6667  0.5588
Ho  0.3333  0.6667  0.7745
Ho  0.6667  0.3333  0.2255
Ho  0.6667  0.3333  0.4412
Si  0.0000  0.0000  0.5000
Si  0.3333  0.6667  0.1667
Si  0.6667  0.3333  0.8333

Values from the calculation:
Size of the total moment   0.00 μB per cell
E_tot   -59.13 eV per cell

---

5.
Compound: La2Ho3Si4
Source: Alexandria
Functional: GGA-PBE
Structure: relaxed

a = 7.7942 Å, b = 7.8520 Å, c = 7.5494 Å
α = 90.00°, β = 107.05°, γ = 90.00°
Positions (direct):
La  0.1969  0.1755  0.0808
La  0.1969  0.3245  0.5808
La  0.8031  0.6755  0.4192
La  0.8031  0.8245  0.9192
Ho  0.2465  0.6795  0.2537
Ho  0.2465  0.8205  0.7537
Ho  0.5000  0.0000  0.5000
Ho  0.5000  0.5000  0.0000
Ho  0.7535  0.1795  0.2463
Ho  0.7535  0.3205  0.7463
Si  0.0782  0.5318  0.8788
Si  0.0782  0.9682  0.3788
Si  0.4950  0.1187  0.8752
Si  0.4950  0.3813  0.3752
Si  0.5050  0.6187  0.6248
Si  0.5050  0.8813  0.1248
Si  0.9218  0.0318  0.6212
Si  0.9218  0.4682  0.1212

Values from the calculation:
Size of the total moment   0.00 μB per cell
E_tot   -104.39 eV per cell

---

6.
Compound: LaHo2Si6
Source: Alexandria
Functional: GGA-PBE
Structure: relaxed

a = 7.1438 Å, b = 7.1438 Å, c = 4.0176 Å
α = 90.00°, β = 90.00°, γ = 120.00°
Positions (direct):
La  0.0000  0.0000  0.0000
Ho  0.3333  0.6667  0.0000
Ho  0.6667  0.3333  0.0000
Si  0.0000  0.3379  0.5000
Si  0.0000  0.6621  0.5000
Si  0.3379  0.0000  0.5000
Si  0.3379  0.3379  0.5000
Si  0.6621  0.0000  0.5000
Si  0.6621  0.6621  0.5000

Values from the calculation:
Size of the total moment   0.00 μB per cell
E_tot   -51.60 eV per cell